Entry 1:
Entry from Alexandria: a relaxed TbEr4Al2 crystal (PBE).

Computed properties:
ρ = 7.4 Mg/m³
E_tot = -4.041 eV per atom
Distance to the lowest polymorph of the same formula = 36.6 kJ/mol of atoms

Cell lengths 5.5933, 5.5933, 12.6611 Å; angles 90.00, 90.00, 90.00 degrees
Space group I4/mmm (No. 139)
Unique sites:
Tb1 0.0000 0.0000 0.0000 x2
Er1 0.0000 0.5000 0.0000 x4
Er2 0.0000 0.5000 0.2500 x4
Al1 0.0000 0.0000 0.3845 x4

Entry 2:
Entry from Alexandria: a relaxed Tb2Er2Al crystal (PBE).

Computed properties:
ρ = 7.9 Mg/m³
E_tot = -4.559 eV per atom
Distance to the lowest polymorph of the same formula = 0.0 kJ/mol of atoms

Cell lengths 12.3866, 3.6835, 8.6860 Å; angles 90.00, 133.81, 90.00 degrees
Space group C2/m (No. 12)
Unique sites:
Tb1 0.0825 0.0000 0.3599 x4
Er1 0.2371 0.5000 0.8236 x4
Al1 0.0000 0.5000 0.0000 x2

Entry 3:
Entry from Alexandria: a relaxed TbEr3Al crystal (PBE).

Computed properties:
ρ = 7.9 Mg/m³
E_tot = -4.392 eV per atom
Distance to the lowest polymorph of the same formula = 16.3 kJ/mol of atoms

Cell lengths 13.3581, 13.3140, 6.6164 Å; angles 90.00, 99.25, 90.00 degrees
Space group C2/c (No. 15)
Unique sites:
Tb1 0.1067 0.1814 0.1337 x8
Er1 0.1048 0.0751 0.6190 x8
Er2 0.1520 0.3413 0.5180 x8
Er3 0.1794 0.4159 0.0243 x8
Al1 0.0000 0.2795 0.7500 x4
Al2 0.0000 0.4931 0.2500 x4

Which of these has the lowest distance to the lowest polymorph of the same formula?
Tb2Er2Al